DFT (GGA-PBE) results for an optimized crystal structure of PuBr2Cl4.

a = 4.125 Å, b = 7.098 Å, c = 9.792 Å
α = 92.93°, β = 102.10°, γ = 106.74°
Fractional positions:
Pu  0.000  0.000  0.000
Br  0.388  0.346  0.431
Br  0.612  0.654  0.569
Cl  0.099  0.943  0.255
Cl  0.350  0.745  0.952
Cl  0.650  0.255  0.048
Cl  0.901  0.057  0.745

* size of the total moment: 0.577 μB per atom
* uncorrected formation energy: -1.140 eV/atom
* V: 267 Å³ per cell
* total energy: -4.721 eV per atom

DFT (GGA-PBE) results for an optimized crystal structure of Ce4CoSi6Au.

a = 8.157 Å, b = 8.157 Å, c = 4.184 Å
α = 90.00°, β = 90.00°, γ = 120.00°
Fractional positions:
Ce  0.000  0.000  0.000
Ce  0.017  0.509  0.000
Ce  0.491  0.509  0.000
Ce  0.491  0.983  0.000
Co  0.333  0.667  0.500
Si  0.172  0.343  0.500
Si  0.172  0.828  0.500
Si  0.322  0.161  0.500
Si  0.657  0.828  0.500
Si  0.839  0.161  0.500
Si  0.839  0.678  0.500
Au  0.667  0.333  0.500

* size of the total moment: 0.190 μB per atom
* uncorrected formation energy: -0.747 eV/atom
* V: 241 Å³ per cell
* total energy: -6.302 eV per atom

DFT (GGA-PBE) results for an optimized crystal structure of PmSbBr.

a = 5.145 Å, b = 5.145 Å, c = 5.145 Å
α = 62.28°, β = 62.28°, γ = 62.28°
Fractional positions:
Pm  0.000  0.000  0.000
Sb  0.740  0.740  0.740
Br  0.248  0.248  0.248

* size of the total moment: 0.001 μB per atom
* uncorrected formation energy: -0.775 eV/atom
* V: 101 Å³ per cell
* total energy: -4.291 eV per atom

DFT (GGA-PBE) results for an optimized crystal structure of Fe2HgSbTe.

a = 4.901 Å, b = 4.901 Å, c = 6.044 Å
α = 90.00°, β = 90.00°, γ = 90.00°
Fractional positions:
Fe  0.000  0.500  0.000
Fe  0.500  0.000  0.000
Hg  0.000  0.000  0.500
Sb  0.500  0.500  0.000
Te  0.500  0.500  0.500

* size of the total moment: 1.267 μB per atom
* uncorrected formation energy: 0.985 eV/atom
* V: 145 Å³ per cell
* total energy: -3.914 eV per atom

DFT (GGA-PBE) results for an optimized crystal structure of KZrP2.

a = 5.163 Å, b = 5.163 Å, c = 5.163 Å
α = 131.47°, β = 112.91°, γ = 87.05°
Fractional positions:
K  0.000  0.000  0.000
Zr  0.500  0.500  0.000
P  0.281  0.781  0.500
P  0.719  0.219  0.500

* size of the total moment: 0.000 μB per atom
* ΔH_f (0 K): -7.9 kJ per mole of atoms
* V: 91 Å³ per cell
* total energy: -5.198 eV per atom

DFT (GGA-PBE) results for an optimized crystal structure of Tb4Pr6Dy.

a = 10.008 Å, b = 10.008 Å, c = 10.008 Å
α = 141.31°, β = 141.31°, γ = 55.87°
Fractional positions:
Tb  0.139  0.139  0.629
Tb  0.490  0.861  0.000
Tb  0.510  0.510  0.371
Tb  0.861  0.490  0.000
Pr  0.000  0.500  0.500
Pr  0.044  0.685  0.000
Pr  0.315  0.315  0.358
Pr  0.500  0.000  0.500
Pr  0.685  0.044  0.000
Pr  0.956  0.956  0.642
Dy  0.500  0.500  0.000

* size of the total moment: 0.000 μB per atom
* ΔH_f (0 K): 27.1 kJ per mole of atoms
* V: 389 Å³ per cell
* total energy: -4.428 eV per atom

Q: What is the total energy in the fourth record?
A: -3.914 eV per atom